The following is a DFT calculation (PBE-GGA) of an optimized crystal structure of Hf4CuNiSb2.

```
data_Hf4CuNiSb2
_cell_length_a 5.587
_cell_length_b 3.826
_cell_length_c 7.778
_cell_angle_alpha 90.00
_cell_angle_beta 110.22
_cell_angle_gamma 90.00
_symmetry_space_group_name_H-M 'P 1'
_symmetry_Int_Tables_number 1
loop_
_symmetry_equiv_pos_as_xyz
'x,y,z'
loop_
_atom_site_label
_atom_site_type_symbol
_atom_site_fract_x
_atom_site_fract_y
_atom_site_fract_z
Cu1 Cu 0.624 0.000 0.792
Hf1 Hf 0.745 0.500 0.066
Hf2 Hf 0.689 0.000 0.407
Hf3 Hf 0.305 0.500 0.584
Hf4 Hf 0.258 0.000 0.944
Ni1 Ni 0.376 0.500 0.208
Sb1 Sb 0.123 0.000 0.286
Sb2 Sb 0.880 0.500 0.713
```

## Properties
Electronic total energy   -7.596 eV/atom
Crystal system   monoclinic
M_tot   0.0032 μB per atom
V   19.50 Å³/atom



The following is a DFT calculation (PBE-GGA) of an optimized crystal structure of HfCuNiSb.

```
data_HfCuNiSb
_cell_length_a 4.558
_cell_length_b 4.558
_cell_length_c 4.558
_cell_angle_alpha 60.00
_cell_angle_beta 60.00
_cell_angle_gamma 60.00
_symmetry_space_group_name_H-M 'P 1'
_symmetry_Int_Tables_number 1
loop_
_symmetry_equiv_pos_as_xyz
'x,y,z'
loop_
_atom_site_label
_atom_site_type_symbol
_atom_site_fract_x
_atom_site_fract_y
_atom_site_fract_z
Cu1 Cu 0.500 0.500 0.500
Hf1 Hf 0.250 0.250 0.250
Ni1 Ni 0.750 0.750 0.750
Sb1 Sb 0.000 0.000 0.000
```

## Properties
Electronic total energy   -5.866 eV/atom
Crystal system   cubic
Distance to the lowest polymorph of the same formula   0.141 eV/atom
M_tot   0.0000 μB per atom
V   16.74 Å³/atom



The following is a DFT calculation (PBE-GGA) of an optimized crystal structure of HfCuNiSb.

```
data_HfCuNiSb
_cell_length_a 4.573
_cell_length_b 4.573
_cell_length_c 4.573
_cell_angle_alpha 60.00
_cell_angle_beta 60.00
_cell_angle_gamma 60.00
_symmetry_space_group_name_H-M 'P 1'
_symmetry_Int_Tables_number 1
loop_
_symmetry_equiv_pos_as_xyz
'x,y,z'
loop_
_atom_site_label
_atom_site_type_symbol
_atom_site_fract_x
_atom_site_fract_y
_atom_site_fract_z
Cu1 Cu 0.750 0.750 0.750
Hf1 Hf 0.250 0.250 0.250
Ni1 Ni 0.500 0.500 0.500
Sb1 Sb 0.000 0.000 0.000
```

## Properties
Electronic total energy   -5.866 eV/atom
Crystal system   cubic
Distance to the lowest polymorph of the same formula   0.141 eV/atom
M_tot   0.0001 μB per atom
V   16.90 Å³/atom



The following is a DFT calculation (PBE-GGA) of an optimized crystal structure of HfCuNiSb.

```
data_HfCuNiSb
_cell_length_a 4.516
_cell_length_b 4.516
_cell_length_c 4.516
_cell_angle_alpha 60.00
_cell_angle_beta 60.00
_cell_angle_gamma 60.00
_symmetry_space_group_name_H-M 'P 1'
_symmetry_Int_Tables_number 1
loop_
_symmetry_equiv_pos_as_xyz
'x,y,z'
loop_
_atom_site_label
_atom_site_type_symbol
_atom_site_fract_x
_atom_site_fract_y
_atom_site_fract_z
Cu1 Cu 0.750 0.750 0.750
Hf1 Hf 0.500 0.500 0.500
Ni1 Ni 0.250 0.250 0.250
Sb1 Sb 0.000 0.000 0.000
```

## Properties
Electronic total energy   -6.007 eV/atom
Crystal system   cubic
Distance to the lowest polymorph of the same formula   0.000 eV/atom
M_tot   0.0003 μB per atom
V   16.28 Å³/atom



The following is a DFT calculation (PBE-GGA) of an optimized crystal structure of HfScCuNi.

```
data_HfScCuNi
_cell_length_a 4.523
_cell_length_b 4.523
_cell_length_c 4.523
_cell_angle_alpha 60.00
_cell_angle_beta 60.00
_cell_angle_gamma 60.00
_symmetry_space_group_name_H-M 'P 1'
_symmetry_Int_Tables_number 1
loop_
_symmetry_equiv_pos_as_xyz
'x,y,z'
loop_
_atom_site_label
_atom_site_type_symbol
_atom_site_fract_x
_atom_site_fract_y
_atom_site_fract_z
Cu1 Cu 0.750 0.750 0.750
Hf1 Hf 0.500 0.500 0.500
Ni1 Ni 0.250 0.250 0.250
Sc1 Sc 0.000 0.000 0.000
```

## Properties
Electronic total energy   -6.714 eV/atom
Crystal system   cubic
Energy relative to the elements   -0.32 eV/atom
Distance to the lowest polymorph of the same formula   0.000 eV/atom
M_tot   0.0003 μB per atom
V   16.36 Å³/atom



The following is a DFT calculation (PBE-GGA) of an optimized crystal structure of HfScCuNi.

```
data_HfScCuNi
_cell_length_a 4.442
_cell_length_b 4.442
_cell_length_c 4.442
_cell_angle_alpha 60.00
_cell_angle_beta 60.00
_cell_angle_gamma 60.00
_symmetry_space_group_name_H-M 'P 1'
_symmetry_Int_Tables_number 1
loop_
_symmetry_equiv_pos_as_xyz
'x,y,z'
loop_
_atom_site_label
_atom_site_type_symbol
_atom_site_fract_x
_atom_site_fract_y
_atom_site_fract_z
Cu1 Cu 0.750 0.750 0.750
Hf1 Hf 0.250 0.250 0.250
Ni1 Ni 0.500 0.500 0.500
Sc1 Sc 0.000 0.000 0.000
```

## Properties
Electronic total energy   -6.482 eV/atom
Crystal system   cubic
Energy relative to the elements   -0.09 eV/atom
Distance to the lowest polymorph of the same formula   0.232 eV/atom
M_tot   0.0001 μB per atom
V   15.49 Å³/atom